Below is a relaxed KCu crystal, with properties calculated at the GGA-PBE level.

N(E_F): 0.22 states/eV per atom
Formation energy from the elements: 0.87 eV per formula unit
Energy above the most stable polymorph in this dataset: 192 meV per atom
Symmetry: Amm2 (38)
Crystal system: orthorhombic
Volume: 31.14 Å³ per atom

a = 4.0889 Å, b = 15.7579 Å, c = 5.7998 Å
α = 90.00°, β = 90.00°, γ = 90.00°
Sites, in units of the cell vectors:
K (0.5000, 0.8241, 0.7167)
K (0.5000, 0.1759, 0.7167)
K (0.5000, 0.3241, 0.2167)
K (0.5000, 0.6759, 0.2167)
K (0.5000, 0.0000, 0.3562)
K (0.5000, 0.5000, 0.8562)
Cu (0.0000, 0.3643, 0.6452)
Cu (0.0000, 0.6357, 0.6452)
Cu (0.0000, 0.8643, 0.1452)
Cu (0.0000, 0.1357, 0.1452)
Cu (0.0000, 0.0000, 0.9221)
Cu (0.0000, 0.5000, 0.4221)

---

Below is a relaxed TaTiAs2 crystal, with properties calculated at the GGA-PBE level.

N(E_F): 0.63 states/eV per atom
Formation energy from the elements: -1.76 eV per formula unit
Energy above the most stable polymorph in this dataset: 221 meV per atom
Symmetry: Fm-3m (225)
Crystal system: cubic
Volume: 16.41 Å³ per atom

a = 4.5277 Å, b = 4.5277 Å, c = 4.5277 Å
α = 60.00°, β = 60.00°, γ = 60.00°
Sites, in units of the cell vectors:
As (0.2500, 0.2500, 0.2500)
As (0.7500, 0.7500, 0.7500)
Ti (0.0000, 0.0000, 0.0000)
Ta (0.5000, 0.5000, 0.5000)

---

Below is a relaxed SrRuW2 crystal, with properties calculated at the GGA-PBE level.

N(E_F): 1.71 states/eV per atom
Formation energy from the elements: 3.43 eV per formula unit
Energy above the most stable polymorph in this dataset: 194 meV per atom
Symmetry: P4/mmm (123)
Crystal system: tetragonal
Volume: 21.60 Å³ per atom

a = 3.3852 Å, b = 3.3852 Å, c = 7.5389 Å
α = 90.00°, β = 90.00°, γ = 90.00°
Sites, in units of the cell vectors:
Ru (0.5000, 0.5000, 0.2500)
Sr (0.5000, 0.5000, 0.7500)
W (0.0000, 0.0000, 0.0921)
W (0.0000, 0.0000, 0.4079)

---

Below is a relaxed Sr5Mg crystal, with properties calculated at the GGA-PBE level.

N(E_F): 1.40 states/eV per atom
Formation energy from the elements: 2.20 eV per formula unit
Energy above the most stable polymorph in this dataset: 379 meV per atom
Symmetry: P6/mmm (191)
Crystal system: hexagonal
Volume: 57.77 Å³ per atom

a = 7.6078 Å, b = 7.6078 Å, c = 6.9154 Å
α = 90.00°, β = 90.00°, γ = 120.00°
Sites, in units of the cell vectors:
Sr (0.0000, 0.5000, 0.5000)
Sr (0.3333, 0.6667, 0.0000)
Sr (0.5000, 0.0000, 0.5000)
Sr (0.5000, 0.5000, 0.5000)
Sr (0.6667, 0.3333, 0.0000)
Mg (0.0000, 0.0000, 0.0000)

---

Below is a relaxed YHf2Hg2 crystal, with properties calculated at the GGA-PBE level.

N(E_F): 0.36 states/eV per atom
Formation energy from the elements: -0.05 eV per formula unit
Energy above the most stable polymorph in this dataset: 0 meV per atom
Symmetry: P4/mbm (127)
Crystal system: tetragonal
Volume: 23.78 Å³ per atom

a = 8.4010 Å, b = 8.4010 Å, c = 3.3694 Å
α = 90.00°, β = 90.00°, γ = 90.00°
Sites, in units of the cell vectors:
Y (0.0000, 0.0000, 0.0000)
Y (0.5000, 0.5000, 0.0000)
Hf (0.1433, 0.6433, 0.5000)
Hf (0.6433, 0.8567, 0.5000)
Hf (0.8567, 0.3567, 0.5000)
Hf (0.3567, 0.1433, 0.5000)
Hg (0.3427, 0.8427, 0.0000)
Hg (0.8427, 0.6573, 0.0000)
Hg (0.6573, 0.1573, 0.0000)
Hg (0.1573, 0.3427, 0.0000)

---

Below is a relaxed NaLiCd2Ag crystal, with properties calculated at the GGA-PBE level.

N(E_F): 0.39 states/eV per atom
Formation energy from the elements: 0.25 eV per formula unit
Symmetry: P4/mmm (123)
Crystal system: tetragonal
Volume: 28.07 Å³ per atom

a = 5.3314 Å, b = 5.3314 Å, c = 4.9382 Å
α = 90.00°, β = 90.00°, γ = 90.00°
Sites, in units of the cell vectors:
Na (0.5000, 0.5000, 0.5000)
Li (0.0000, 0.0000, 0.5000)
Ag (0.0000, 0.0000, 0.0000)
Cd (0.0000, 0.5000, 0.0000)
Cd (0.5000, 0.0000, 0.0000)